The following is a PBE calculation of KScRe2 after structural relaxation, from the Alexandria database.

Calculated values
D(E_F) = 4.04 states/eV/f.u.
total magnetization = 0.001 μB per cell
formation energy from the elements = 1152 meV per atom
E above lowest polymorph = 2.77 eV per formula unit

CIF file:
```
data_KScRe2
_symmetry_space_group_name_H-M 'F -4 3 m'
_symmetry_Int_Tables_number 216
_symmetry_space_group_name_Hall 'F -4 2 3'
_cell_length_a 6.666
_cell_length_b 6.666
_cell_length_c 6.666
_cell_angle_alpha 90.00
_cell_angle_beta 90.00
_cell_angle_gamma 90.00
loop_
_atom_site_label
_atom_site_type_symbol
_atom_site_fract_x
_atom_site_fract_y
_atom_site_fract_z
K1 K 0.000 0.000 0.000
Sc1 Sc 0.250 0.250 0.750
Re1 Re 0.000 0.000 0.500
Re2 Re 0.250 0.250 0.250
```